No. 1
# RbCd2NCl

Crystalline RbCd2NCl at its relaxed geometry (PBE, Alexandria).

Cell lengths 4.416, 4.416, 10.305 Å; angles 90.00, 90.00, 90.00 degrees
Sites, in units of the cell vectors:
Rb 0.000 0.000 0.000
Cd 0.000 0.500 0.500
Cd 0.500 0.000 0.500
N 0.500 0.500 0.500
Cl 0.500 0.500 0.000

Properties
DOS at the Fermi energy = 0.240 states/eV per atom
Total moment = 0.000 μB/atom
Calculated density = 2.973 g/cm³
SG = P4/mmm (123)
Total energy = -13.992 eV per cell
V = 201.0 Å³/cell

***

No. 2
# CrOsRh2

Crystalline CrOsRh2 at its relaxed geometry (PBE, Alexandria).

Cell lengths 4.664, 4.664, 2.694 Å; angles 90.00, 90.00, 109.97 degrees
Sites, in units of the cell vectors:
Cr 0.000 0.000 0.000
Os 0.500 0.500 0.000
Rh 0.000 0.500 0.500
Rh 0.500 0.000 0.500

Properties
DOS at the Fermi energy = 0.810 states/eV per atom
Offset from the most stable computed form = 58.9 meV per atom
Total moment = 0.365 μB/atom
Formation enthalpy at 0 K = -0.0047 eV per atom
Calculated density = 13.505 g/cm³
SG = Cmmm (65)
V = 55.1 Å³/cell

***

No. 3
# Ba12NaSr6

Crystalline Ba12NaSr6 at its relaxed geometry (PBE, Alexandria).

Cell lengths 10.526, 10.526, 10.526 Å; angles 89.45, 89.45, 89.45 degrees
Sites, in units of the cell vectors:
Ba 0.026 0.303 0.938
Ba 0.062 0.974 0.697
Ba 0.126 0.351 0.459
Ba 0.303 0.938 0.026
Ba 0.351 0.459 0.126
Ba 0.459 0.126 0.351
Ba 0.541 0.874 0.649
Ba 0.649 0.541 0.874
Ba 0.697 0.062 0.974
Ba 0.874 0.649 0.541
Ba 0.938 0.026 0.303
Ba 0.974 0.697 0.062
Na 0.500 0.500 0.500
Sr 0.239 0.759 0.391
Sr 0.241 0.609 0.761
Sr 0.391 0.239 0.759
Sr 0.609 0.761 0.241
Sr 0.759 0.391 0.239
Sr 0.761 0.241 0.609

Properties
DOS at the Fermi energy = 1.327 states/eV per atom
Total moment = 0.000 μB/atom
Formation enthalpy at 0 K = 0.0529 eV per atom
Calculated density = 3.128 g/cm³
SG = R-3 (148)
V = 1166.0 Å³/cell

***

No. 4
# Na2LaRu

Crystalline Na2LaRu at its relaxed geometry (PBE, Alexandria).

Cell lengths 12.706, 12.706, 12.706 Å; angles 161.79, 161.79, 25.86 degrees
Sites, in units of the cell vectors:
Na 0.100 0.625 0.975
Na 0.375 0.350 0.475
Na 0.650 0.125 0.025
Na 0.875 0.900 0.525
La 0.250 0.750 0.500
La 0.500 0.500 0.000
Ru 0.000 0.000 0.000
Ru 0.750 0.250 0.500

Properties
DOS at the Fermi energy = 0.567 states/eV per atom
Offset from the most stable computed form = 0.0 meV per atom
Total moment = 0.000 μB/atom
Formation enthalpy at 0 K = 0.3196 eV per atom
Calculated density = 4.742 g/cm³
SG = I-42d (122)
V = 200.3 Å³/cell